# Sr2YZnO5 | Alexandria | PBE | optimized geometry
data_Sr2YZnO5
_cell_length_a 3.467
_cell_length_b 7.389
_cell_length_c 10.627
_cell_angle_alpha 90.00
_cell_angle_beta 90.00
_cell_angle_gamma 103.57
_space_group_name_H-M_alt 'P 1'
_space_group_IT_number 1
loop_
_space_group_symop_operation_xyz
'x,y,z'
loop_
_atom_site_label
_atom_site_type_symbol
_atom_site_fract_x
_atom_site_fract_y
_atom_site_fract_z
Y1 Y 0.208 0.416 0.003
Zn1 Zn 0.505 0.010 0.977
O1 O 0.364 0.728 0.005
O2 O 0.498 0.997 0.291
Sr1 Sr 0.885 0.769 0.195
O3 O 0.697 0.393 0.863
O4 O 0.707 0.414 0.148
O5 O 0.303 0.607 0.363
O6 O 0.293 0.586 0.648
Sr2 Sr 0.115 0.231 0.695
Sr3 Sr 0.129 0.257 0.296
Zn2 Zn 0.495 0.990 0.477
Sr4 Sr 0.871 0.743 0.796
O7 O 0.502 0.003 0.791
O8 O 0.636 0.272 0.505
O9 O 0.047 0.095 0.045
O10 O 0.953 0.905 0.545
Y2 Y 0.792 0.584 0.503
# raw total energy = -6.426 eV/atom
# space-group type = Cmc2_1 (36)